A plane-wave DFT calculation with meta-GGA SCAN was carried out for Be3Ag at its PBEsol-relaxed geometry.

Geometry as POSCAR:
```
Be3Ag
1.0
3.0713 0.0000 0.0000
0.0000 3.6714 0.0000
0.0000 0.0000 7.3118
Be Ag
6 2
Direct
0.0000 0.0000 0.0000
0.0000 0.5000 0.2568
0.0000 0.5000 0.7432
0.5000 0.0000 0.2432
0.5000 0.0000 0.7568
0.5000 0.5000 0.5000
0.0000 0.0000 0.5000
0.5000 0.5000 0.0000
```

Properties
V: 10.3 A^3/atom
Polymorph energy (0 for the lowest one): 0.021 eV per atom
Crystal system: orthorhombic
ΔH_f (0 K): 0.105 eV per atom
Total magnetic moment: 0.0 μB per formula unit
Space-group type: Immm (71)

A plane-wave DFT calculation with meta-GGA SCAN was carried out for ErMn2SiC at its PBEsol-relaxed geometry.

Geometry as POSCAR:
```
ErMn2SiC
1.0
1.8205 -5.1935 0.0000
1.8205 5.1935 0.0000
0.0000 0.0000 6.8657
Er Mn Si C
2 4 2 2
Direct
0.0434 0.9566 0.7500
0.9566 0.0434 0.2500
0.3313 0.6687 0.5626
0.3313 0.6687 0.9374
0.6687 0.3313 0.0626
0.6687 0.3313 0.4374
0.2366 0.7634 0.2500
0.7634 0.2366 0.7500
0.5000 0.5000 0.0000
0.5000 0.5000 0.5000
```

Properties
V: 13.0 A^3/atom
Crystal system: orthorhombic
Uncorrected formation energy: -0.60 eV per atom
Total magnetic moment: 3.2 μB per formula unit
Space-group type: Cmcm (63)

A plane-wave DFT calculation with meta-GGA SCAN was carried out for YCuP2Cl at its PBEsol-relaxed geometry.

Geometry as POSCAR:
```
YCuP2Cl
1.0
4.3562 0.0000 0.0000
0.0000 4.3562 0.0000
0.0000 0.0000 4.9948
Y Cu P Cl
1 1 2 1
Direct
0.0000 0.0000 0.0000
0.5000 0.5000 0.5000
0.0000 0.5000 0.5000
0.5000 0.0000 0.5000
0.5000 0.5000 0.0000
```

Properties
V: 19.0 A^3/atom
Crystal system: tetragonal
Uncorrected formation energy: -0.39 eV per atom
Total magnetic moment: 0.0 μB per formula unit
Space-group type: P4/mmm (123)

A plane-wave DFT calculation with meta-GGA SCAN was carried out for ZnSiSe2 at its PBEsol-relaxed geometry.

Geometry as POSCAR:
```
ZnSiSe2
1.0
3.4096 0.0000 0.0000
0.0000 5.2828 0.0000
0.0000 0.0000 8.7487
Zn Si Se
2 2 4
Direct
0.0000 0.0000 0.0000
0.5000 0.5000 0.0000
0.0000 0.5000 0.7740
0.5000 0.0000 0.7740
0.0000 0.0000 0.5790
0.0000 0.5000 0.2072
0.5000 0.0000 0.2072
0.5000 0.5000 0.5790
```

Properties
V: 19.7 A^3/atom
Crystal system: orthorhombic
Uncorrected formation energy: 0.27 eV per atom
Total magnetic moment: 0.0 μB per formula unit
Space-group type: Cmm2 (35)

A plane-wave DFT calculation with meta-GGA SCAN was carried out for NaAu3C at its PBEsol-relaxed geometry.

Geometry as POSCAR:
```
NaAu3C
1.0
4.7906 0.0000 0.0000
0.0000 4.7906 0.0000
0.0000 0.0000 4.7906
Na Au C
1 3 1
Direct
0.0000 0.0000 0.0000
0.0000 0.0000 0.5000
0.0000 0.5000 0.0000
0.5000 0.0000 0.0000
0.5000 0.5000 0.5000
```

Properties
V: 22.0 A^3/atom
Polymorph energy (0 for the lowest one): 1.990 eV per atom
Crystal system: cubic
ΔH_f (0 K): 2.292 eV per atom
Total magnetic moment: 1.3 μB per formula unit
Space-group type: Pm-3m (221)

A plane-wave DFT calculation with meta-GGA SCAN was carried out for ZnNiMoAs2 at its PBEsol-relaxed geometry.

Geometry as POSCAR:
```
ZnNiMoAs2
1.0
4.4838 0.0000 0.0000
0.0000 4.4838 0.0000
0.0000 0.0000 4.3473
Zn Ni Mo As
1 1 1 2
Direct
0.0000 0.0000 0.0000
0.0000 0.0000 0.5000
0.5000 0.5000 0.0000
0.0000 0.5000 0.5000
0.5000 0.0000 0.5000
```

Properties
V: 17.5 A^3/atom
Crystal system: tetragonal
ΔH_f (0 K): 0.678 eV per atom
Total magnetic moment: 3.3 μB per formula unit
Space-group type: P4/mmm (123)